# 1
A relaxed structure of Be2FeBr. Source: Alexandria via LeMat-Bulk, functional PBE.

```
Be2FeBr
1.0
-2.836 -0.986 0.043
0.445 -1.399 -2.690
1.753 -4.920 2.772
Be Fe Br
2 1 1
Cartesian
1.123 -3.191 0.916
1.729 -4.889 1.897
0.231 -5.233 0.083
-0.868 -2.073 0.042
```

Properties
The polymorph energy (0 for the lowest one) comes out at 70 meV/atom. The calculation puts the total energy at -4.057 eV per atom. The formation energy without anion corrections comes out at 32.8 kJ/mol of atoms. As for the crystal system: monoclinic.


# 2
A relaxed structure of TePbAu2. Source: Alexandria via LeMat-Bulk, functional PBE.

```
TePbAu2
1.0
-7.350 2.962 0.130
-2.502 -6.010 -4.520
-5.576 -3.253 0.464
Au Te Pb
4 2 2
Cartesian
-12.767 -5.021 -3.430
-7.912 -3.668 -1.363
-3.982 -4.157 -2.691
-6.196 0.245 -0.370
-4.926 -1.524 -2.195
-6.502 -5.393 -3.126
-8.926 -0.907 -0.801
0.000 0.000 0.000
```

Properties
The polymorph energy (0 for the lowest one) comes out at 85 meV/atom. The calculation puts the total energy at -3.314 eV per atom. The formation energy without anion corrections comes out at 3.6 kJ/mol of atoms. As for the crystal system: tetragonal.


# 3
A relaxed structure of Y7Ho3Th. Source: Alexandria via LeMat-Bulk, functional PBE.

```
Y7Ho3Th
1.0
8.639 0.000 0.000
0.000 7.074 0.000
0.000 -3.537 6.126
Th Ho Y
1 3 7
Cartesian
3.895 0.000 4.084
6.748 0.000 6.105
6.748 1.750 3.074
6.748 -1.750 3.074
1.030 1.739 5.088
0.973 3.537 2.042
3.890 1.777 1.026
3.890 3.537 4.074
1.030 0.000 2.076
1.030 -1.739 5.088
3.890 5.297 1.026
```

Properties
The formation energy is 0.20 eV per atom. The polymorph energy (0 for the lowest one) comes out at 43 meV/atom. The calculation puts the total energy at -5.840 eV per atom. As for the crystal system: trigonal.


# 4
A relaxed structure of CoNiHg2. Source: Alexandria via LeMat-Bulk, functional PBE.

```
CoNiHg2
1.0
-4.755 -0.986 -1.225
-0.390 -3.787 -3.255
2.401 0.585 4.357
Co Ni Hg
1 1 2
Cartesian
-2.464 -1.394 0.446
-2.573 -2.386 -2.240
-0.281 -2.794 -0.569
0.000 0.000 0.000
```

Properties
The formation energy is 0.47 eV per atom. The polymorph energy (0 for the lowest one) comes out at 165 meV/atom. The calculation puts the total energy at -2.900 eV per atom. As for the crystal system: tetragonal.


# 5
A relaxed structure of CsKSe4. Source: Alexandria via LeMat-Bulk, functional PBE.

```
CsKSe4
1.0
-4.291 -1.272 2.841
1.146 -5.136 -0.569
5.829 3.430 5.395
Se Cs K
4 1 1
Cartesian
2.906 -2.358 2.519
-0.937 -3.082 1.316
3.316 1.562 4.885
3.888 -1.004 4.601
0.150 -0.427 4.163
3.000 -2.873 7.365
```

Properties
The calculation puts the total energy at -3.216 eV per atom. The formation energy without anion corrections comes out at -54.8 kJ/mol of atoms. As for the crystal system: monoclinic.


# 6
A relaxed structure of UIn3I8. Source: Alexandria via LeMat-Bulk, functional PBE.

```
UIn3I8
1.0
-14.620 0.352 1.090
-0.766 -2.341 -9.508
0.336 -7.088 6.791
I In U
16 6 2
Cartesian
-10.210 -5.260 2.117
-13.588 0.328 1.013
-7.566 -5.406 -5.268
-10.950 -2.987 -5.654
-3.267 -3.854 -3.861
-10.804 -6.058 -2.711
-10.618 -1.973 -1.534
-14.495 -4.495 0.138
-6.279 0.151 0.468
-7.243 -4.421 -1.266
-7.385 -1.437 -4.125
-3.100 -3.046 1.000
-14.173 -3.509 4.141
-2.955 -6.117 3.942
-3.286 -7.131 -0.177
-14.354 -7.478 2.997
-12.094 -2.580 1.609
-11.934 -5.971 4.859
-5.342 -3.051 -6.319
-12.300 -7.092 0.309
-4.976 -1.931 -1.769
-5.182 -6.443 -3.069
-1.495 -5.470 1.467
-9.172 -3.712 -3.420
```

Properties
The calculation puts the total energy at -3.243 eV per atom. The formation energy without anion corrections comes out at -56.4 kJ/mol of atoms. As for the crystal system: hexagonal.


# 7
A relaxed structure of Rb2GaSb2. Source: Alexandria via LeMat-Bulk, functional PBE.

```
Rb2GaSb2
1.0
-3.364 3.496 1.790
-6.176 -3.418 2.539
3.090 1.617 10.118
Sb Rb Ga
4 4 2
Cartesian
0.191 0.701 6.458
-4.758 0.628 12.240
-6.640 0.993 7.989
-1.692 1.067 2.207
-3.123 0.051 8.968
-3.326 1.643 5.479
-1.918 3.769 11.441
-4.531 -2.075 3.006
-0.509 3.127 7.875
-5.941 -1.433 6.572
```

Properties
The polymorph energy (0 for the lowest one) comes out at 100 meV/atom. The calculation puts the total energy at -2.957 eV per atom. The formation energy without anion corrections comes out at -30.5 kJ/mol of atoms. As for the crystal system: monoclinic.


# 8
A relaxed structure of ErSi3Ru5. Source: Alexandria via LeMat-Bulk, functional PBE.

```
ErSi3Ru5
1.0
-1.026 -0.363 -2.791
-4.657 -3.137 3.727
-7.156 11.909 1.083
Ru Er Si
10 2 6
Cartesian
-3.578 5.955 0.541
-6.160 5.645 1.530
-8.570 9.654 1.895
-7.344 0.968 2.573
-5.495 7.441 -0.555
-6.679 2.765 0.488
-5.994 -1.278 2.369
-6.845 9.687 -0.351
-4.269 -1.245 0.123
0.000 0.000 0.000
-3.385 1.953 0.990
-9.454 6.457 1.028
-5.075 4.258 -0.296
-6.820 8.000 1.467
-2.263 -0.421 -0.721
-10.576 8.830 2.739
-7.764 4.151 2.314
-6.019 0.410 0.551
```

Properties
The calculation puts the total energy at -7.892 eV per atom. The formation energy without anion corrections comes out at -40.9 kJ/mol of atoms. As for the crystal system: orthorhombic.


# 9
A relaxed structure of HgMo4. Source: Alexandria via LeMat-Bulk, functional PBE.

```
HgMo4
1.0
3.242 1.341 3.405
-3.756 2.671 -1.630
-2.297 -3.705 2.213
Mo Hg
4 1
Cartesian
-3.309 -1.067 1.453
0.498 1.374 2.535
-2.007 1.511 1.499
-0.804 -1.204 2.489
0.000 0.000 0.000
```

Properties
The formation energy is 0.44 eV per atom. The polymorph energy (0 for the lowest one) comes out at 0 meV/atom. The calculation puts the total energy at -8.289 eV per atom. As for the crystal system: tetragonal.


# 10
A relaxed structure of RbHfSc. Source: Alexandria via LeMat-Bulk, functional PBE.

```
RbHfSc
1.0
-1.629 -26.420 0.949
-1.407 -13.302 -2.553
3.845 13.024 -1.024
Sc Hf Rb
2 2 2
Cartesian
1.104 -11.857 -0.954
-1.393 -22.639 -1.816
1.930 1.559 -1.437
-0.596 -9.743 -2.278
-0.898 -15.164 -2.061
-1.955 -32.485 -1.431
```

Properties
The formation energy is 0.38 eV per atom. The polymorph energy (0 for the lowest one) comes out at 3 meV/atom. The calculation puts the total energy at -5.376 eV per atom. As for the crystal system: monoclinic.


# 11
A relaxed structure of CaErNiAg. Source: Alexandria via LeMat-Bulk, functional PBE.

```
CaErNiAg
1.0
-1.915 -2.640 -3.752
2.752 -3.472 -2.255
-1.063 -4.814 0.637
Ag Er Ni Ca
1 1 1 1
Cartesian
-0.056 -2.732 -1.342
0.000 0.000 0.000
-0.169 -8.195 -4.027
-0.113 -5.464 -2.685
```

Properties
The formation energy is -0.21 eV per atom. The calculation puts the total energy at -4.009 eV per atom. As for the crystal system: cubic.


# 12
A relaxed structure of SmYZr. Source: Alexandria via LeMat-Bulk, functional PBE.

```
SmYZr
1.0
3.420 0.000 0.000
0.000 5.408 0.000
0.000 -2.704 4.684
Zr Y Sm
1 1 1
Cartesian
0.570 0.000 3.123
2.280 2.704 1.561
0.570 0.000 0.000
```

Properties
The formation energy is 0.14 eV per atom. The polymorph energy (0 for the lowest one) comes out at 41 meV/atom. The calculation puts the total energy at -6.438 eV per atom. As for the crystal system: hexagonal.


# 13
A relaxed structure of Rb2Ce2NiSe6. Source: Alexandria via LeMat-Bulk, functional PBE.

```
Rb2Ce2NiSe6
1.0
-0.210 -6.779 1.927
4.670 4.318 3.044
-6.996 2.663 4.107
Se Rb Ni Ce
6 2 1 2
Cartesian
-1.382 -0.053 6.566
-4.567 -0.431 3.735
2.031 0.633 5.343
-1.154 0.255 2.512
0.523 -2.797 4.998
-3.059 2.998 4.080
0.621 -4.891 2.117
3.839 2.429 2.854
-3.498 1.332 2.054
-0.452 1.955 4.726
-2.083 -1.754 4.352
```

Properties
The calculation puts the total energy at -4.887 eV per atom. The formation energy without anion corrections comes out at -116.3 kJ/mol of atoms. As for the crystal system: monoclinic.


# 14
A relaxed structure of PmClO. Source: Alexandria via LeMat-Bulk, functional PBE.

```
PmClO
1.0
4.374 0.000 0.000
2.187 3.788 0.000
2.187 1.263 3.571
Pm O Cl
1 1 1
Cartesian
2.187 1.263 0.893
4.374 2.525 1.786
0.000 0.000 0.000
```

Properties
The calculation puts the total energy at -6.237 eV per atom. The formation energy without anion corrections comes out at -230.1 kJ/mol of atoms. As for the crystal system: cubic.


# 15
A relaxed structure of HfMg2TeOs. Source: Alexandria via LeMat-Bulk, functional PBE.

```
HfMg2TeOs
1.0
5.547 0.000 0.000
0.000 4.752 0.000
0.000 0.000 5.547
Os Mg Hf Te
1 2 1 1
Cartesian
0.000 2.376 0.000
2.774 0.000 0.000
0.000 0.000 2.774
0.000 0.000 0.000
2.774 2.376 2.774
```

Properties
The calculation puts the total energy at -4.285 eV per atom. The formation energy without anion corrections comes out at 117.5 kJ/mol of atoms. As for the crystal system: tetragonal.


# 16
A relaxed structure of Dy7TmTl3. Source: Alexandria via LeMat-Bulk, functional PBE.

```
Dy7TmTl3
1.0
5.967 0.214 0.274
-2.555 7.522 0.158
-2.555 -1.670 7.336
Tl Dy Tm
3 7 1
Cartesian
-2.555 0.486 5.652
2.984 0.107 0.137
-2.555 5.366 1.842
0.161 4.565 0.389
0.161 -0.729 4.523
0.822 5.018 6.426
0.697 1.501 7.379
0.697 6.794 3.245
0.036 1.048 1.342
-2.555 2.926 3.747
0.429 3.033 3.884
```

Properties
The formation energy is 0.04 eV per atom. The calculation puts the total energy at -3.943 eV per atom. As for the crystal system: monoclinic.


# 17
A relaxed structure of CoCuHg2. Source: Alexandria via LeMat-Bulk, functional PBE.

```
CoCuHg2
1.0
4.068 0.000 0.000
0.000 4.068 0.000
2.034 2.034 9.206
Hg Cu Co
4 2 2
Cartesian
3.051 3.058 6.904
1.023 3.051 2.301
5.085 5.079 6.904
3.045 1.017 2.301
4.068 2.034 4.603
0.000 0.000 0.000
2.034 4.068 4.603
2.034 2.034 0.000
```

Properties
The formation energy is 0.64 eV per atom. The polymorph energy (0 for the lowest one) comes out at 292 meV/atom. The calculation puts the total energy at -2.316 eV per atom. As for the crystal system: tetragonal.


# 18
A relaxed structure of YCuGe. Source: Alexandria via LeMat-Bulk, functional PBE.

```
YCuGe
1.0
-3.227 0.938 2.444
-0.330 -3.996 1.098
4.179 1.061 5.113
Y Cu Ge
2 2 2
Cartesian
-0.835 -0.600 2.812
2.169 -2.671 4.042
1.868 -1.869 6.870
3.646 -0.340 5.099
0.266 -3.155 1.714
1.067 -0.116 5.139
```

Properties
The formation energy is -0.63 eV per atom. The calculation puts the total energy at -5.691 eV per atom. As for the crystal system: tetragonal.


# 19
A relaxed structure of AsAuCl. Source: Alexandria via LeMat-Bulk, functional PBE.

```
AsAuCl
1.0
-0.677 -2.782 2.133
-0.397 -4.648 -6.069
5.773 -3.727 -0.047
As Cl Au
2 2 2
Cartesian
5.261 -6.730 -4.067
-0.563 -4.427 0.084
1.852 -5.919 -4.094
2.846 -5.237 0.111
1.462 -3.475 -1.020
3.237 -7.682 -2.963
```

Properties
The polymorph energy (0 for the lowest one) comes out at 0 meV/atom. The calculation puts the total energy at -3.472 eV per atom. The formation energy without anion corrections comes out at -20.7 kJ/mol of atoms. As for the crystal system: triclinic.


# 20
A relaxed structure of TbPm2Sm9. Source: Alexandria via LeMat-Bulk, functional PBE.

```
TbPm2Sm9
1.0
-5.077 0.668 0.211
-0.608 -4.969 1.100
1.043 3.193 14.999
Sm Tb Pm
9 1 2
Cartesian
-1.668 2.998 12.620
-2.146 -0.020 10.663
-2.495 -1.088 5.647
-2.366 0.863 2.589
-0.131 -1.955 3.034
0.218 -0.888 8.050
0.567 0.180 13.065
-2.843 -2.150 0.656
-2.017 1.931 7.605
0.000 0.000 0.000
0.696 2.131 10.007
0.347 1.063 4.992
```

Properties
The formation energy is 0.02 eV per atom. The calculation puts the total energy at -4.700 eV per atom. As for the crystal system: tetragonal.


# 21
A relaxed structure of NaTcOF2. Source: Alexandria via LeMat-Bulk, functional PBE.

```
NaTcOF2
1.0
-1.153 -3.821 1.483
-0.072 -1.522 -3.976
3.651 -0.982 0.310
O Na F Tc
1 1 2 1
Cartesian
1.825 -0.491 0.155
1.213 -3.162 -1.091
-0.036 -0.761 -1.988
-0.576 -1.910 0.742
0.000 0.000 0.000
```

Properties
The polymorph energy (0 for the lowest one) comes out at 0 meV/atom. The calculation puts the total energy at -5.767 eV per atom. The formation energy without anion corrections comes out at -163.0 kJ/mol of atoms. As for the crystal system: tetragonal.


# 22
A relaxed structure of Al3Sn3Hg. Source: Alexandria via LeMat-Bulk, functional PBE.

```
Al3Sn3Hg
1.0
-3.215 -5.033 -4.893
5.697 1.274 -5.053
4.102 -5.715 3.183
Sn Al Hg
6 6 2
Cartesian
-0.582 -3.945 -1.651
2.045 -0.621 -3.750
1.469 -6.803 -0.059
0.437 -3.138 -6.197
6.324 -1.902 -2.198
3.475 -2.539 0.328
2.665 -1.561 -6.237
1.247 -4.116 0.368
5.925 -3.649 -0.139
-0.361 -6.632 -2.078
3.874 -0.792 -1.731
-0.183 -2.198 -3.710
0.000 0.000 0.000
3.292 -4.737 -3.382
```

Properties
The formation energy is 0.36 eV per atom. The calculation puts the total energy at -3.001 eV per atom. As for the crystal system: cubic.


# 23
A relaxed structure of Ca2TeS2. Source: Alexandria via LeMat-Bulk, functional PBE.

```
Ca2TeS2
1.0
5.374 0.000 0.000
0.000 5.374 0.000
2.687 2.687 4.297
Te Ca S
1 2 2
Cartesian
0.000 0.000 0.000
5.374 2.687 2.149
2.687 5.374 2.149
2.687 2.687 1.100
5.374 5.374 3.197
```

Properties
The polymorph energy (0 for the lowest one) comes out at 0 meV/atom. The calculation puts the total energy at -4.516 eV per atom. The formation energy without anion corrections comes out at -138.6 kJ/mol of atoms. As for the crystal system: tetragonal.


# 24
A relaxed structure of Pr6CCl12. Source: Alexandria via LeMat-Bulk, functional PBE.

```
Pr6CCl12
1.0
7.990 0.328 1.781
1.497 7.855 1.781
0.381 0.328 8.177
Pr Cl C
6 12 1
Cartesian
6.855 2.078 3.642
3.012 6.434 8.097
3.061 6.476 3.642
6.806 2.036 8.097
2.409 2.078 7.379
7.458 6.434 4.360
8.104 4.035 9.641
5.180 7.425 9.641
4.558 3.932 8.341
5.309 4.580 3.398
7.433 3.932 5.924
2.435 4.580 5.815
8.607 7.425 6.761
1.763 4.477 2.098
1.260 1.087 4.978
4.687 1.087 2.098
4.980 6.775 5.924
4.888 1.736 5.815
0.000 0.000 0.000
```

Properties
The calculation puts the total energy at -4.971 eV per atom. The formation energy without anion corrections comes out at -174.6 kJ/mol of atoms. As for the crystal system: trigonal.